The following is a DFT calculation (PBEsol) of a relaxed structure of ErCl3.

Properties
space-group type	No. 194
formation energy from raw total energies	-8.8	eV/f.u.
crystal system	hexagonal
magnetization	0.000	μB/cell

abc: 3.501 9.476 9.476
angles: 120.00 90.00 90.00
Sites, in units of the cell vectors:
Cl 0.750 0.431 0.215
Cl 0.250 0.215 0.431
Cl 0.750 0.785 0.215
Cl 0.250 0.569 0.785
Cl 0.750 0.785 0.569
Er 0.250 0.667 0.333
Er 0.750 0.333 0.667
Cl 0.250 0.215 0.785